Density functional theory data (PBE) for crystalline Be2Re at its relaxed geometry.

Summary:
ΔH_f (0 K) = -164 meV/atom
M_tot = 0.000 μB/f.u.

Lattice parameters (Å, degrees): 3.3724 3.3724 2.9982 90.00 90.00 120.00
Space group P6/mmm (No. 191)
Asymmetric unit:
Be: 0.3333 0.6667 0.0000 [2 per cell]
Re: 0.0000 0.0000 0.5000 [1 per cell]

***

Density functional theory data (PBE) for crystalline Be2Re at its relaxed geometry.

Summary:
ΔH_f (0 K) = 69 meV/atom
M_tot = 0.000 μB/f.u.

Lattice parameters (Å, degrees): 8.967 2.604 5.836 90.00 102.64 90.00
Space group Cm (No. 8)
Asymmetric unit:
Be: 0.000 0.000 0.000 [2 per cell]
Be: 0.058 0.000 0.619 [2 per cell]
Be: 0.179 0.500 0.376 [2 per cell]
Be: 0.346 0.000 0.681 [2 per cell]
Re: 0.217 0.500 0.937 [2 per cell]
Re: 0.402 0.000 0.303 [2 per cell]

***

Density functional theory data (PBE) for crystalline Be5Re at its relaxed geometry.

Summary:
ΔH_f (0 K) = 30 meV/atom
M_tot = 0.000 μB/f.u.

Lattice parameters (Å, degrees): 8.641 2.548 5.444 90.00 108.77 90.00
Space group Cm (No. 8)
Asymmetric unit:
Be: 0.000 0.000 0.000 [2 per cell]
Be: 0.016 0.000 0.454 [2 per cell]
Be: 0.184 0.500 0.320 [2 per cell]
Be: 0.351 0.000 0.180 [2 per cell]
Be: 0.369 0.000 0.637 [2 per cell]
Re: 0.184 0.500 0.817 [2 per cell]

***

Density functional theory data (PBE) for crystalline BeRe at its relaxed geometry.

Summary:
ΔH_f (0 K) = 421 meV/atom
M_tot = 0.000 μB/f.u.

Lattice parameters (Å, degrees): 3.5240 3.5240 4.3834 90.00 90.00 120.00
Space group P6_3/mmc (No. 194)
Asymmetric unit:
Be: 0.0000 0.0000 0.0000 [2 per cell]
Re: 0.3333 0.6667 0.2500 [2 per cell]

***

Density functional theory data (PBE) for crystalline Be3Re at its relaxed geometry.

Summary:
ΔH_f (0 K) = 67 meV/atom
M_tot = 0.000 μB/f.u.

Lattice parameters (Å, degrees): 7.6687 7.6687 2.4985 90.00 90.00 120.00
Space group R-3m (No. 166, hexagonal axes)
Asymmetric unit:
Be: 0.0000 0.5000 0.0000 [9 per cell]
Re: 0.0000 0.0000 0.0000 [3 per cell]

***

Density functional theory data (PBE) for crystalline Be2Re at its relaxed geometry.

Summary:
ΔH_f (0 K) = 926 meV/atom
M_tot = 0.002 μB/f.u.

Lattice parameters (Å, degrees): 5.346 5.346 5.346 90.00 90.00 90.00
Space group Fm-3m (No. 225)
Asymmetric unit:
Be: 0.250 0.250 0.250 [8 per cell]
Re: 0.000 0.000 0.000 [4 per cell]

***

Density functional theory data (PBE) for crystalline BeRe at its relaxed geometry.

Summary:
ΔH_f (0 K) = 18 meV/atom
M_tot = 0.000 μB/f.u.

Lattice parameters (Å, degrees): 2.965 2.965 5.553 90.00 90.00 90.00
Space group P4/nmm (No. 129, origin choice 2)
Asymmetric unit:
Be: 0.250 0.250 0.096 [2 per cell]
Re: 0.250 0.250 0.632 [2 per cell]

***

Density functional theory data (PBE) for crystalline Be3Re5 at its relaxed geometry.

Summary:
ΔH_f (0 K) = -46 meV/atom
M_tot = 0.000 μB/f.u.

Lattice parameters (Å, degrees): 6.8170 6.8170 4.8872 90.00 90.00 120.00
Space group P6_3/mcm (No. 193)
Asymmetric unit:
Be: 0.0000 0.3986 0.2500 [6 per cell]
Re: 0.0000 0.2393 0.7500 [6 per cell]
Re: 0.3333 0.6667 0.0000 [4 per cell]

***

| no. | VASP energy (eV per atom) |
| --- | --- |
| 1 | -6.7977 |
| 2 | -6.5648 |
| 3 | -5.1495 |
| 4 | -7.6664 |
| 5 | -5.8395 |
| 6 | -5.7075 |
| 7 | -8.0692 |
| 8 | -9.2235 |